Pm3AgRh2: optimized geometry, GGA-PBE.

ΔE_f, kcal/mol of atoms: -13.021
Electronic total energy, Ha/atom: -0.216
Space-group type: P4/mmm
D(E_F), states/eV per cell: 5.0
Total moment, Bohr magnetons per cell: 0.000

a = 3.544 Å, b = 3.544 Å, c = 11.102 Å
α = 90.00°, β = 90.00°, γ = 90.00°
Atoms (fractional coordinates):
Pm (0.000, 0.000, 0.000)
Pm (0.000, 0.000, 0.311)
Pm (0.000, 0.000, 0.689)
Ag (0.500, 0.500, 0.500)
Rh (0.500, 0.500, 0.162)
Rh (0.500, 0.500, 0.838)